Entry 1:
A plane-wave DFT calculation with PBE was carried out for a relaxed structure of Y3NiRu.

abc: 4.203 8.966 6.111
angles: 90.00 90.00 90.00
Space group Pmmn (No. 59, origin choice 2)
Symmetry-distinct sites (fractional):
Y1 0.250 0.054 0.239 x4
Y2 0.250 0.250 0.744 x2
Ni1 0.250 0.750 0.543 x2
Ru1 0.250 0.750 0.951 x2

energy above the most stable polymorph in this dataset = 0.00 kcal/mol of atoms

---

Entry 2:
A plane-wave DFT calculation with PBE was carried out for a relaxed structure of MnIr5Pt2.

abc: 3.861 3.861 15.568
angles: 90.00 90.00 90.00
Space group I4/mmm (No. 139)
Symmetry-distinct sites (fractional):
Mn1 0.000 0.000 0.000 x2
Ir1 0.000 0.000 0.500 x2
Ir2 0.000 0.500 0.118 x8
Pt1 0.000 0.000 0.250 x4

---

Entry 3:
A plane-wave DFT calculation with PBE was carried out for a relaxed structure of AcAu4.

abc: 5.859 5.859 5.859
angles: 90.00 90.00 90.00
Space group Pm-3m (No. 221)
Symmetry-distinct sites (fractional):
Ac1 0.000 0.000 0.000 x1
Au1 0.000 0.000 0.500 x3
Au2 0.500 0.500 0.500 x1

energy above the most stable polymorph in this dataset = 28.46 kcal/mol of atoms

---

no.,VASP energy (eV/atom)
1,-7.20
2,-8.25
3,-2.80